# 1
DFT (PBE) results for a relaxed structure of Pm2Nd2SmY.

Lattice parameters (Å, degrees): 6.7732 18.0217 3.4346 90.00 90.00 90.00
Atoms (fractional coordinates):
Pm: 0.2317 0.1489 0.0000
Pm: 0.2683 0.6489 0.5000
Pm: 0.7317 0.3511 0.5000
Pm: 0.7683 0.8511 0.0000
Nd: 0.2371 0.3187 0.5000
Nd: 0.2629 0.8187 0.0000
Nd: 0.7371 0.1813 0.0000
Nd: 0.7629 0.6813 0.5000
Sm: 0.0000 0.0000 0.5000
Sm: 0.5000 0.5000 0.0000
Y: 0.0000 0.5000 0.5000
Y: 0.5000 0.0000 0.0000

Summary:
Space group: Pnnm, No. 58
Calculated formation energy, meV per atom: 243.0

=====

# 2
DFT (PBE) results for a relaxed structure of Si4P5.

Lattice parameters (Å, degrees): 6.7604 6.7604 6.7604 92.89 92.89 154.03
Atoms (fractional coordinates):
Si: 0.0000 0.3309 0.3309
Si: 0.0000 0.6691 0.6691
Si: 0.3309 0.0000 0.3309
Si: 0.6691 0.0000 0.6691
P: 0.0000 0.0000 0.0000
P: 0.3195 0.3195 0.6391
P: 0.3195 0.6805 0.0000
P: 0.6805 0.3195 0.0000
P: 0.6805 0.6805 0.3609

Summary:
Space group: I4/mmm, No. 139
Polymorph energy (0 for the lowest one), eV/atom: 0.210
Formation energy without anion corrections, eV/f.u.: 5.03

=====

# 3
DFT (PBE) results for a relaxed structure of Tb12NdHo2.

Lattice parameters (Å, degrees): 6.6371 6.6371 24.4249 92.24 92.24 115.02
Atoms (fractional coordinates):
Tb: 0.0546 0.5440 0.2023
Tb: 0.0774 0.5867 0.3299
Tb: 0.1338 0.6425 0.5554
Tb: 0.1476 0.1476 0.5716
Tb: 0.2153 0.2153 0.8585
Tb: 0.2329 0.7322 0.9253
Tb: 0.2678 0.7671 0.0747
Tb: 0.2825 0.2825 0.1358
Tb: 0.3575 0.8662 0.4446
Tb: 0.3599 0.3599 0.4215
Tb: 0.4133 0.9226 0.6701
Tb: 0.4560 0.9454 0.7977
Tb: 0.5440 0.0546 0.2023
Tb: 0.5867 0.0774 0.3299
Tb: 0.6401 0.6401 0.5785
Tb: 0.6425 0.1338 0.5554
Tb: 0.7175 0.7175 0.8642
Tb: 0.7322 0.2329 0.9253
Tb: 0.7671 0.2678 0.0747
Tb: 0.7847 0.7847 0.1415
Tb: 0.8524 0.8524 0.4284
Tb: 0.8662 0.3575 0.4446
Tb: 0.9226 0.4133 0.6701
Tb: 0.9454 0.4560 0.7977
Nd: 0.2492 0.2492 0.9979
Nd: 0.7508 0.7508 0.0021
Ho: 0.0720 0.0720 0.2727
Ho: 0.4371 0.4371 0.7281
Ho: 0.5629 0.5629 0.2719
Ho: 0.9280 0.9280 0.7273

Summary:
Space group: C2/m, No. 12
Calculated formation energy, meV per atom: 110.0

=====

# 4
DFT (PBE) results for a relaxed structure of Sr2MgAuN.

Lattice parameters (Å, degrees): 5.3525 5.3525 4.1769 90.00 90.00 90.00
Atoms (fractional coordinates):
Sr: 0.0000 0.5000 0.0000
Sr: 0.5000 0.0000 0.0000
Mg: 0.0000 0.0000 0.5000
Au: 0.5000 0.5000 0.5000
N: 0.0000 0.0000 0.0000

Summary:
Space group: P4/mmm, No. 123
Formation energy without anion corrections, eV/f.u.: -2.87

=====

# 5
DFT (PBE) results for a relaxed structure of Ti3OsRu2.

Lattice parameters (Å, degrees): 3.0803 3.0803 9.2833 90.00 90.00 90.00
Atoms (fractional coordinates):
Ti: 0.0000 0.0000 0.0000
Ti: 0.0000 0.0000 0.3328
Ti: 0.0000 0.0000 0.6672
Os: 0.5000 0.5000 0.5000
Ru: 0.5000 0.5000 0.1657
Ru: 0.5000 0.5000 0.8343

Summary:
Space group: P4/mmm, No. 123
Calculated formation energy, meV per atom: -744.8

=====

# 6
DFT (PBE) results for a relaxed structure of ReAsSe2O.

Lattice parameters (Å, degrees): 4.3666 4.3666 4.1926 90.00 90.00 90.00
Atoms (fractional coordinates):
Re: 0.0000 0.0000 0.0000
As: 0.5000 0.5000 0.0000
Se: 0.0000 0.5000 0.5000
Se: 0.5000 0.0000 0.5000
O: 0.5000 0.5000 0.5000

Summary:
Space group: P4/mmm, No. 123
Polymorph energy (0 for the lowest one), eV/atom: 0.000
Formation energy without anion corrections, eV/f.u.: 4.55

=====

# 7
DFT (PBE) results for a relaxed structure of K2Ru.

Lattice parameters (Å, degrees): 6.0579 6.0579 11.5273 90.00 90.00 120.00
Atoms (fractional coordinates):
K: 0.0000 0.0000 0.0000
K: 0.0000 0.0000 0.5000
K: 0.1719 0.3437 0.2500
K: 0.1719 0.8281 0.2500
K: 0.3437 0.1719 0.7500
K: 0.6563 0.8281 0.2500
K: 0.8281 0.1719 0.7500
K: 0.8281 0.6563 0.7500
Ru: 0.3333 0.6667 0.5138
Ru: 0.3333 0.6667 0.9862
Ru: 0.6667 0.3333 0.0138
Ru: 0.6667 0.3333 0.4862

Summary:
Space group: P6_3/mmc, No. 194
Polymorph energy (0 for the lowest one), eV/atom: 0.950
Calculated formation energy, meV per atom: 1561.5

=====

# 8
DFT (PBE) results for a relaxed structure of Dy3HgPb2.

Lattice parameters (Å, degrees): 8.8036 8.8036 6.5416 101.65 101.65 42.41
Atoms (fractional coordinates):
Dy: 0.1355 0.8645 0.7500
Dy: 0.2263 0.4384 0.4050
Dy: 0.4384 0.2263 0.9050
Dy: 0.5616 0.7737 0.0950
Dy: 0.7737 0.5616 0.5950
Dy: 0.8645 0.1355 0.2500
Hg: 0.3801 0.6199 0.2500
Hg: 0.6199 0.3801 0.7500
Pb: 0.0576 0.2654 0.0602
Pb: 0.2654 0.0576 0.5602
Pb: 0.7346 0.9424 0.4398
Pb: 0.9424 0.7346 0.9398

Summary:
Space group: C2/c, No. 15
Polymorph energy (0 for the lowest one), eV/atom: 0.012
Calculated formation energy, meV per atom: -410.3

=====

So what do the calculations give for calculated total energy? Going down the list: -4.794 -4.857 -4.522 -3.886 -9.656 -4.896 -2.262 -3.998 eV/atom.
So what do the calculations give for density? Going down the list: 6.478 3.366 8.133 5.697 10.104 9.037 3.250 10.968 Mg/m³.